# Pr2ScGa4Au3

Pr2ScGa4Au3 after structural relaxation (PBE, Alexandria).

Values from the calculation:
* energy: -4.4365 eV/atom
* symmetry: P-4m2, No. 115
* energy relative to the elements: -0.653 eV per atom
* theoretical density: 9.23 g/cm³

abc: 4.318 4.318 11.551
angles: 90.00 90.00 90.00
Element x y z (fractional)
Pr (0.000, 0.500, 0.243)
Pr (0.500, 0.000, 0.757)
Sc (0.000, 0.000, 0.500)
Ga (0.000, 0.000, 0.000)
Ga (0.000, 0.500, 0.650)
Ga (0.500, 0.000, 0.350)
Ga (0.500, 0.500, 0.000)
Au (0.000, 0.500, 0.870)
Au (0.500, 0.000, 0.130)
Au (0.500, 0.500, 0.500)